No. 1
A plane-wave DFT calculation with PBE was carried out for an optimized crystal structure of TbScGaGe.

Cell lengths 4.932, 4.932, 4.932 Å; angles 60.00, 60.00, 60.00 degrees
Fractional positions:
Sc  0.250  0.250  0.250
Tb  0.750  0.750  0.750
Ge  0.500  0.500  0.500
Ga  0.000  0.000  0.000

Properties
Volume = 21.21 Å³/atom
Calculated total energy = -5.206 eV/atom
Symmetry = F-43m, No. 216

=====

No. 2
A plane-wave DFT calculation with PBE was carried out for an optimized crystal structure of Sr4TcSe.

Cell lengths 6.852, 6.852, 6.852 Å; angles 60.00, 60.00, 60.00 degrees
Each line ends with the local moment (μB).
Fractional positions:
Sr  0.376  0.376  0.873  -0.09
Sr  0.376  0.376  0.376  -0.09
Sr  0.376  0.873  0.376  -0.09
Sr  0.873  0.376  0.376  -0.09
Tc  0.750  0.750  0.750  2.91
Se  0.000  0.000  0.000  0.04

Properties
Volume = 37.91 Å³/atom
Formation energy from raw total energies = 0.84 eV per atom
Symmetry = F-43m, No. 216

=====

No. 3
A plane-wave DFT calculation with PBE was carried out for an optimized crystal structure of TcTeSN2.

Cell lengths 3.822, 3.822, 5.879 Å; angles 90.00, 90.00, 90.00 degrees
Fractional positions:
Tc  0.000  0.000  0.000
N  0.500  0.000  0.000
N  0.000  0.500  0.000
Te  0.000  0.000  0.500
S  0.500  0.500  0.500

Properties
Volume = 17.17 Å³/atom
Formation energy from raw total energies = 0.61 eV per atom
Symmetry = P4/mmm, No. 123

=====

No. 4
A plane-wave DFT calculation with PBE was carried out for an optimized crystal structure of SrMnRh2.

Cell lengths 8.473, 8.473, 8.473 Å; angles 22.11, 22.11, 22.11 degrees
Each line ends with the local moment (μB).
Fractional positions:
Sr  0.250  0.250  0.250  0.04
Rh  0.013  0.013  0.013  0.18
Rh  0.487  0.487  0.487  0.18
Mn  0.750  0.750  0.750  3.66

Properties
Volume = 18.89 Å³/atom
Calculated total energy = -6.083 eV/atom
Symmetry = R-3m, No. 166